(1)
This record from Alexandria via LeMat-Bulk describes CdHgC4Se4N4 after structural relaxation. The functional is PBE.

```
data_CdHgC4Se4N4
_chemical_formula_sum 'Cd1 Hg1 C4 Se4 N4'
_cell_length_a 8.775
_cell_length_b 8.775
_cell_length_c 8.775
_cell_angle_alpha 95.09
_cell_angle_beta 95.09
_cell_angle_gamma 145.35
_symmetry_space_group_name_H-M 'P 1'
_symmetry_Int_Tables_number 1
loop_
_symmetry_equiv_pos_as_xyz
'x,y,z'
loop_
_atom_site_label
_atom_site_type_symbol
_atom_site_fract_x
_atom_site_fract_y
_atom_site_fract_z
_atom_site_occupancy
N1 N 0.032 0.636 0.688 1
N2 N 0.656 0.968 0.604 1
N3 N 0.364 0.052 0.396 1
N4 N 0.948 0.344 0.312 1
Cd1 Cd 0.750 0.250 0.500 1
C1 C 0.162 0.952 0.339 1
C2 C 0.613 0.822 0.661 1
C3 C 0.048 0.387 0.209 1
C4 C 0.178 0.838 0.791 1
Se1 Se 0.845 0.795 0.258 1
Se2 Se 0.205 0.464 0.051 1
Se3 Se 0.536 0.587 0.742 1
Se4 Se 0.413 0.155 0.949 1
Hg1 Hg 0.000 0.000 0.000 1
```

The value obtained for the density of states at the Fermi level is 0.0000 states/eV/atom. The calculated volume is 26.2 A^3/atom. Its electronic total energy is -5.834 eV per atom. The calculation puts the spin magnetization at 0.00 μB per atom.

***

(2)
This record from Alexandria via LeMat-Bulk describes ZnAg2Au after structural relaxation. The functional is PBE.

```
data_ZnAg2Au
_chemical_formula_sum 'Zn1 Ag2 Au1'
_cell_length_a 5.120
_cell_length_b 5.120
_cell_length_c 5.120
_cell_angle_alpha 133.87
_cell_angle_beta 133.87
_cell_angle_gamma 67.29
_symmetry_space_group_name_H-M 'P 1'
_symmetry_Int_Tables_number 1
loop_
_symmetry_equiv_pos_as_xyz
'x,y,z'
loop_
_atom_site_label
_atom_site_type_symbol
_atom_site_fract_x
_atom_site_fract_y
_atom_site_fract_z
_atom_site_occupancy
Au1 Au 0.250 0.750 0.500 1
Ag1 Ag 0.500 0.500 0.000 1
Ag2 Ag 0.000 0.000 0.000 1
Zn1 Zn 0.750 0.250 0.500 1
```

The value obtained for the formation energy is -0.07 eV per atom. The value obtained for the density of states at the Fermi level is 0.3550 states/eV/atom. The calculated volume is 17.1 A^3/atom. Its electronic total energy is -2.638 eV per atom. The calculation puts the spin magnetization at 0.00 μB per atom.

***

(3)
This record from Alexandria via LeMat-Bulk describes LiAlCdGe2 after structural relaxation. The functional is PBE.

```
data_LiAlCdGe2
_chemical_formula_sum 'Li1 Al1 Cd1 Ge2'
_cell_length_a 4.648
_cell_length_b 4.744
_cell_length_c 4.648
_cell_angle_alpha 90.00
_cell_angle_beta 90.00
_cell_angle_gamma 90.00
_symmetry_space_group_name_H-M 'P 1'
_symmetry_Int_Tables_number 1
loop_
_symmetry_equiv_pos_as_xyz
'x,y,z'
loop_
_atom_site_label
_atom_site_type_symbol
_atom_site_fract_x
_atom_site_fract_y
_atom_site_fract_z
_atom_site_occupancy
Ge1 Ge 0.000 0.000 0.500 1
Ge2 Ge 0.500 0.000 0.000 1
Al1 Al 0.000 0.500 0.000 1
Li1 Li 0.000 0.000 0.000 1
Cd1 Cd 0.500 0.500 0.500 1
```

The value obtained for the formation energy is 0.43 eV per atom. The value obtained for the density of states at the Fermi level is 0.3739 states/eV/atom. The calculated volume is 20.5 A^3/atom. Its electronic total energy is -2.735 eV per atom. The calculation puts the spin magnetization at 0.00 μB per atom.

***

(4)
This record from Alexandria via LeMat-Bulk describes BaGe2PS8 after structural relaxation. The functional is PBE.

```
data_BaGe2PS8
_chemical_formula_sum 'Ba1 Ge2 P1 S8'
_cell_length_a 6.019
_cell_length_b 6.019
_cell_length_c 8.656
_cell_angle_alpha 90.00
_cell_angle_beta 90.00
_cell_angle_gamma 120.00
_symmetry_space_group_name_H-M 'P 1'
_symmetry_Int_Tables_number 1
loop_
_symmetry_equiv_pos_as_xyz
'x,y,z'
loop_
_atom_site_label
_atom_site_type_symbol
_atom_site_fract_x
_atom_site_fract_y
_atom_site_fract_z
_atom_site_occupancy
Ge1 Ge 0.333 0.667 0.716 1
Ge2 Ge 0.667 0.333 0.284 1
S1 S 0.693 0.977 0.338 1
S2 S 0.284 0.307 0.338 1
S3 S 0.307 0.023 0.662 1
S4 S 0.977 0.284 0.662 1
S5 S 0.716 0.693 0.662 1
S6 S 0.023 0.716 0.338 1
S7 S 0.333 0.667 0.971 1
S8 S 0.667 0.333 0.029 1
P1 P 0.000 0.000 0.500 1
Ba1 Ba 0.000 0.000 0.000 1
```

The value obtained for the density of states at the Fermi level is 0.7823 states/eV/atom. The calculated volume is 22.6 A^3/atom. Its electronic total energy is -4.504 eV per atom. The calculation puts the spin magnetization at 0.03 μB per atom.